This record from Alexandria via LeMat-Bulk describes crystalline Zn2InMoO at its relaxed geometry. The functional is PBE+U.

calculated volume	85	Å³ per cell
N(E_F)	0.355	states/eV/atom
total DFT energy (no corrections)	-3.4867	eV/atom
M_tot	2.947	μB per cell

CIF file:
```
data_Zn2InMoO
_chemical_formula_sum 'Zn2 In1 Mo1 O1'
_space_group_name_H-M_alt 'P 4/m m m'
_space_group_IT_number 123
_space_group_name_Hall '-P 4 2'
_cell_length_a 4.411
_cell_length_b 4.411
_cell_length_c 4.360
_cell_angle_alpha 90.00
_cell_angle_beta 90.00
_cell_angle_gamma 90.00
loop_
_atom_site_label
_atom_site_fract_x
_atom_site_fract_y
_atom_site_fract_z
Zn1 0.000 0.500 0.000
In1 0.000 0.000 0.500
Mo1 0.500 0.500 0.500
O1 0.500 0.500 0.000
```